No. 1
The following is a PBE-GGA calculation of a relaxed BaReTc2 crystal, from the Alexandria database.

Geometry as POSCAR:
```
BaReTc2
1.0
4.900 0.000 0.000
0.000 4.900 0.000
0.000 0.000 3.094
Ba Re Tc
1 1 2
direct
0.000 0.000 0.000
0.500 0.500 0.000
0.000 0.500 0.500
0.500 0.000 0.500
```

Summary:
relative energy among the computed polymorphs: 728 meV/atom
magnetic moment: 0.000 μB/atom
ΔE_f: 1.397 eV per atom
calculated volume: 74.3 Å³ per cell
raw total energy: -7.3784 eV/atom


No. 2
The following is a PBE-GGA calculation of a relaxed BaRe2Tc crystal, from the Alexandria database.

Geometry as POSCAR:
```
BaRe2Tc
1.0
2.967 0.000 0.000
0.000 3.605 0.000
-0.048 0.000 7.968
Ba Re Tc
1 2 1
direct
0.000 0.000 0.000
0.057 0.000 0.497
0.494 0.500 0.336
0.500 0.500 0.661
```

Summary:
relative energy among the computed polymorphs: 0 meV/atom
magnetic moment: 0.000 μB/atom
ΔE_f: 0.740 eV per atom
calculated volume: 85.2 Å³ per cell
raw total energy: -8.5565 eV/atom


No. 3
The following is a PBE-GGA calculation of a relaxed BaRe2Tc crystal, from the Alexandria database.

Geometry as POSCAR:
```
BaRe2Tc
1.0
4.622 -1.547 0.000
4.622 1.547 0.000
-1.422 0.000 6.351
Ba Re Tc
1 2 1
direct
0.000 0.000 0.000
0.216 0.216 0.632
0.500 0.500 0.502
0.784 0.784 0.356
```

Summary:
relative energy among the computed polymorphs: 62 meV/atom
magnetic moment: 0.000 μB/atom
ΔE_f: 0.802 eV per atom
calculated volume: 90.9 Å³ per cell
raw total energy: -8.4941 eV/atom


No. 4
The following is a PBE-GGA calculation of a relaxed BaRe2Tc crystal, from the Alexandria database.

Geometry as POSCAR:
```
BaRe2Tc
1.0
0.000 3.330 3.330
3.330 0.000 3.330
3.330 3.330 0.000
Ba Re Tc
1 2 1
direct
0.000 0.000 0.000
0.250 0.250 0.250
0.750 0.750 0.750
0.500 0.500 0.500
```

Summary:
relative energy among the computed polymorphs: 732 meV/atom
magnetic moment: 0.000 μB/atom
ΔE_f: 1.471 eV per atom
calculated volume: 73.8 Å³ per cell
raw total energy: -7.8247 eV/atom


No. 5
The following is a PBE-GGA calculation of a relaxed BaReTc2 crystal, from the Alexandria database.

Geometry as POSCAR:
```
BaReTc2
1.0
3.241 0.000 0.000
0.000 3.241 0.000
0.000 0.000 7.994
Ba Re Tc
1 1 2
direct
0.000 0.000 0.000
0.500 0.500 0.335
0.000 0.000 0.498
0.500 0.500 0.658
```

Summary:
relative energy among the computed polymorphs: 82 meV/atom
magnetic moment: 0.000 μB/atom
ΔE_f: 0.751 eV per atom
calculated volume: 84.0 Å³ per cell
raw total energy: -8.0244 eV/atom


No. 6
The following is a PBE-GGA calculation of a relaxed BaRe2Tc crystal, from the Alexandria database.

Geometry as POSCAR:
```
BaRe2Tc
1.0
2.740 -4.994 0.000
2.740 4.994 0.000
-0.831 0.000 2.737
Ba Re Tc
1 2 1
direct
0.000 0.000 0.000
0.000 0.500 0.500
0.500 0.000 0.500
0.500 0.500 0.000
```

Summary:
relative energy among the computed polymorphs: 749 meV/atom
magnetic moment: 0.000 μB/atom
ΔE_f: 1.489 eV per atom
calculated volume: 74.9 Å³ per cell
raw total energy: -7.8072 eV/atom


No. 7
The following is a PBE-GGA calculation of a relaxed BaRe2Tc crystal, from the Alexandria database.

Geometry as POSCAR:
```
BaRe2Tc
1.0
3.166 0.000 0.000
0.000 4.539 0.000
0.000 0.000 5.257
Ba Re Tc
1 2 1
direct
0.000 0.000 0.000
0.000 0.500 0.500
0.500 0.000 0.500
0.500 0.500 0.000
```

Summary:
relative energy among the computed polymorphs: 781 meV/atom
magnetic moment: 0.000 μB/atom
ΔE_f: 1.521 eV per atom
calculated volume: 75.6 Å³ per cell
raw total energy: -7.7755 eV/atom


No. 8
The following is a PBE-GGA calculation of a relaxed BaRe2Tc crystal, from the Alexandria database.

Geometry as POSCAR:
```
BaRe2Tc
1.0
3.856 0.000 0.000
0.000 3.856 0.000
0.000 0.000 5.198
Ba Re Tc
1 2 1
direct
0.000 0.000 0.000
0.000 0.500 0.500
0.500 0.000 0.500
0.500 0.500 0.000
```

Summary:
relative energy among the computed polymorphs: 976 meV/atom
magnetic moment: 0.000 μB/atom
ΔE_f: 1.715 eV per atom
calculated volume: 77.3 Å³ per cell
raw total energy: -7.5809 eV/atom